Entry 1:
A crystal of CaAlHg2 relaxed with PBEsol. Source: Alexandria, functional meta-GGA SCAN.

Cell and atoms, written as POSCAR:
```
CaAlHg2
1.0
4.977 0.000 0.000
2.489 4.310 0.000
2.489 1.437 4.064
Hg Al Ca
2 1 1
Direct
0.000 0.000 0.000
0.750 0.750 0.750
0.500 0.500 0.500
0.250 0.250 0.250
```

Total DFT energy (no corrections) (Ha/atom): -1.420
Calculated formation energy (eV/atom): -0.208
Calculated volume (Å³ per atom): 21.80



Entry 2:
A crystal of MgTiZn2S relaxed with PBEsol. Source: Alexandria, functional meta-GGA SCAN.

Cell and atoms, written as POSCAR:
```
MgTiZn2S
1.0
-3.722 -0.576 2.441
0.880 -4.913 0.182
2.649 0.629 4.187
Ti S Zn Mg
1 1 2 1
Direct
0.000 0.000 0.000
0.500 0.000 0.000
0.000 0.000 0.500
0.000 0.500 0.000
0.500 0.500 0.500
```

Total DFT energy (no corrections) (Ha/atom): -0.417
Formation energy (no corrections) (eV per atom): 0.18
Calculated volume (Å³ per atom): 22.39



Entry 3:
A crystal of PbBrN2 relaxed with PBEsol. Source: Alexandria, functional meta-GGA SCAN.

Cell and atoms, written as POSCAR:
```
PbBrN2
1.0
-2.627 0.159 2.269
-2.737 -2.112 -0.359
1.110 -5.029 4.297
Pb Br N
1 1 2
Direct
0.500 0.500 0.500
0.000 0.000 0.000
0.106 0.106 0.683
0.894 0.894 0.317
```

Total DFT energy (no corrections) (Ha/atom): -1.003
Energy relative to the lowest polymorph listed for this composition (eV per formula unit): 0.00
Formation energy (no corrections) (eV per atom): 1.15
Calculated volume (Å³ per atom): 16.74



Entry 4:
A crystal of Zn3As2O6 relaxed with PBEsol. Source: Alexandria, functional meta-GGA SCAN.

Cell and atoms, written as POSCAR:
```
Zn3As2O6
1.0
-0.371 -5.996 -1.262
3.684 1.211 -6.837
12.675 -2.142 6.451
Zn O As
12 24 8
Direct
0.564 0.215 0.778
0.000 0.685 0.500
0.936 0.215 0.278
0.500 0.685 0.000
0.500 0.315 0.000
0.064 0.215 0.722
0.436 0.215 0.222
0.436 0.785 0.222
0.000 0.315 0.500
0.936 0.785 0.278
0.064 0.785 0.722
0.564 0.785 0.778
0.589 0.175 0.104
0.345 0.677 0.699
0.411 0.825 0.896
0.845 0.323 0.801
0.345 0.323 0.699
0.089 0.175 0.396
0.655 0.323 0.301
0.089 0.825 0.396
0.668 0.500 0.941
0.911 0.825 0.604
0.155 0.677 0.199
0.840 0.000 0.219
0.332 0.500 0.059
0.340 0.000 0.281
0.655 0.677 0.301
0.160 0.000 0.781
0.589 0.825 0.104
0.411 0.175 0.896
0.155 0.323 0.199
0.168 0.500 0.559
0.845 0.677 0.801
0.660 0.000 0.719
0.911 0.175 0.604
0.832 0.500 0.441
0.777 0.000 0.097
0.586 0.500 0.375
0.414 0.500 0.625
0.223 0.000 0.903
0.086 0.500 0.125
0.277 0.000 0.403
0.914 0.500 0.875
0.723 0.000 0.597
```

Total DFT energy (no corrections) (Ha/atom): -0.451
Energy relative to the lowest polymorph listed for this composition (eV per formula unit): 0.00
Formation energy (no corrections) (eV per atom): -1.51
Calculated volume (Å³ per atom): 15.77



Entry 5:
A crystal of AgPbSe2 relaxed with PBEsol. Source: Alexandria, functional meta-GGA SCAN.

Cell and atoms, written as POSCAR:
```
AgPbSe2
1.0
4.275 0.000 0.000
2.138 3.702 0.000
2.138 1.234 7.895
Se Pb Ag
2 1 1
Direct
0.102 0.102 0.695
0.898 0.898 0.305
0.500 0.500 0.500
0.000 0.000 0.000
```

Total DFT energy (no corrections) (Ha/atom): -1.356
Formation energy (no corrections) (eV per atom): -0.08
Calculated volume (Å³ per atom): 31.24



Entry 6:
A crystal of CrRh2Au relaxed with PBEsol. Source: Alexandria, functional meta-GGA SCAN.

Cell and atoms, written as POSCAR:
```
CrRh2Au
1.0
-0.352 1.803 1.964
-2.364 1.254 0.267
-3.700 -5.399 6.136
Au Cr Rh
1 1 2
Direct
0.500 0.500 0.500
0.000 0.000 0.000
0.258 0.258 0.225
0.742 0.742 0.775
```

Total DFT energy (no corrections) (Ha/atom): -1.425
Calculated formation energy (eV/atom): -0.002
Calculated volume (Å³ per atom): 13.83